LiCrCdF6 | PBE+U | optimized geometry

abc: 5.2027 5.2027 9.6934
angles: 90.00 90.00 120.00
Last column: nearest neighbours and their distance in Å.
Element x y z (fractional)
Li1 0.3333 0.6667 0.2500  6 F 2.05
Li2 0.6667 0.3333 0.7500  6 F 2.05
Cr1 0.3333 0.6667 0.7500  6 F 1.95
Cr2 0.6667 0.3333 0.2500  6 F 1.95
Cd1 0.0000 0.0000 0.0000  6 F 2.28
Cd2 0.0000 0.0000 0.5000  6 F 2.28
F1 0.0146 0.3619 0.8615  1 Cr 1.95, 1 Li 2.05
F2 0.0146 0.6526 0.6385  1 Cr 1.95, 1 Li 2.05
F3 0.3474 0.3619 0.6385  1 Cr 1.95, 1 Li 2.05
F4 0.3474 0.9854 0.8615  1 Cr 1.95, 1 Li 2.05
F5 0.3619 0.0146 0.3615  1 Cr 1.95, 1 Li 2.05
F6 0.3619 0.3474 0.1385  1 Cr 1.95, 1 Li 2.05
F7 0.6381 0.6526 0.8615  1 Cr 1.95, 1 Li 2.05
F8 0.6381 0.9854 0.6385  1 Cr 1.95, 1 Li 2.05
F9 0.6526 0.0146 0.1385  1 Cr 1.95, 1 Li 2.05
F10 0.6526 0.6381 0.3615  1 Cr 1.95, 1 Li 2.05
F11 0.9854 0.3474 0.3615  1 Cr 1.95, 1 Li 2.05
F12 0.9854 0.6381 0.1385  1 Cr 1.95, 1 Li 2.05

As for the density of states at the Fermi level: 0.0 states/eV/cell. The symmetry is P-31c (163). As for the theoretical density: 4.17 g/cm3. Its magnetization is 6.00 Bohr magnetons per cell. The calculated total energy comes out at -0.185 hartree per atom.